No. 1
An optimized crystal structure of Er2TaN. Source: Alexandria, functional GGA-PBE.

The formation energy (no corrections) comes out at -0.299 eV per atom. The calculated total energy is -91.502 eV/cell. For the density of states at the Fermi level, the calculation gives 12.6 states/eV/cell.

The structure belongs to space group R-3m (No. 166, hexagonal axes); the cell edges are 3.2432, 3.2432 and 26.2832 Å and the angles 90.00°, 90.00° and 120.00°. Symmetry generates all atoms from Er at (0.0000, 0.0000, 0.1145), Ta at (0.0000, 0.0000, 0.0000) and N at (0.0000, 0.0000, 0.5000).

***

No. 2
An optimized crystal structure of ErTaN2. Source: Alexandria, functional GGA-PBE.

The formation energy (no corrections) comes out at -0.944 eV per atom. The calculated total energy is -147.363 eV/cell. For the density of states at the Fermi level, the calculation gives 3.9 states/eV/cell.

The structure belongs to space group Pnma (No. 62); the cell edges are 5.844, 3.016 and 11.817 Å and the angles 90.00°, 90.00° and 90.00°. Symmetry generates all atoms from Er at (0.001, 0.250, 0.143), Ta at (0.002, 0.750, 0.595), N at (0.161, 0.250, 0.700) and N at (0.248, 0.250, 0.962).